Below is crystalline GdY3 at its relaxed geometry, with properties calculated at the PBE level.

It has space group Imm2 (No. 44), with a = 3.639 Å, b = 11.493 Å, c = 6.302 Å, α = 90.00°, β = 90.00° and γ = 90.00°. The distinct sites, in fractional coordinates, are Gd at (0.000, 0.000, 0.000), Y at (0.000, 0.249, 0.664) and Y at (0.000, 0.500, 0.000).

Its size of the total moment is 8.6 μB/f.u. For the formation enthalpy at 0 K, the calculation gives 0.00 eV per atom. For the density of states at the Fermi level, the calculation gives 14.9 states/eV per cell. For the energy above the most stable polymorph in this dataset, the calculation gives 0.0 meV per atom. As for the total DFT energy (no corrections): -66.958 eV for the cell shown.